This record from Alexandria describes a relaxed NdEr2Zn crystal. The functional is GGA-PBE.

Structure (POSCAR):
```
NdEr2Zn
1.0
1.785 1.031 10.310
-1.785 1.031 10.310
0.000 -2.061 10.310
Nd Er Zn
1 2 1
direct
0.000 0.000 0.000 Nd
0.238 0.238 0.238 Er
0.762 0.762 0.762 Er
0.500 0.500 0.500 Zn
```

- DFT total energy: -3.8679 eV/atom
- Space group: R-3m (166)
- Formation energy from the elements: -29 kJ/mol of formula units
- Energy relative to the lowest polymorph listed for this composition: 0.0902 eV/atom